[1]
## Al4InAgTe8 (meta-GGA SCAN)

Data for a crystal of Al4InAgTe8 relaxed with PBEsol.

Calculated values
* ΔE_f (raw): -6.1 eV per formula unit
* SG: C2

Cell lengths 7.302, 7.302, 8.620 Å; angles 90.15, 90.15, 107.75 degrees
Fractional positions:
Al: 0.000 0.000 0.000
Al: 0.000 0.477 0.245
Al: 0.523 0.000 0.755
Al: 0.524 0.476 0.500
In: 0.009 0.991 0.500
Ag: 0.515 0.485 0.000
Te: 0.121 0.373 0.985
Te: 0.139 0.840 0.764
Te: 0.141 0.395 0.515
Te: 0.160 0.861 0.236
Te: 0.605 0.859 0.485
Te: 0.627 0.879 0.015
Te: 0.629 0.326 0.256
Te: 0.674 0.371 0.744

***

[2]
## AlAg4Ir (meta-GGA SCAN)

Data for a crystal of AlAg4Ir relaxed with PBEsol.

Calculated values
* formation enthalpy at 0 K: 0.489 eV per atom
* SG: F-43m

Cell lengths 5.209, 5.209, 5.209 Å; angles 60.00, 60.00, 60.00 degrees
Fractional positions:
Al: 0.000 0.000 0.000
Ag: 0.125 0.625 0.625
Ag: 0.625 0.125 0.625
Ag: 0.625 0.625 0.125
Ag: 0.625 0.625 0.625
Ir: 0.250 0.250 0.250

***

[3]
## AlAg2Ir2 (meta-GGA SCAN)

Data for a crystal of AlAg2Ir2 relaxed with PBEsol.

Calculated values
* formation enthalpy at 0 K: 0.599 eV per atom
* SG: I4/mmm

Cell lengths 7.428, 7.428, 7.428 Å; angles 152.47, 152.47, 39.33 degrees
Fractional positions:
Al: 0.000 0.000 0.000
Ag: 0.406 0.406 0.000
Ag: 0.594 0.594 0.000
Ir: 0.250 0.750 0.500
Ir: 0.750 0.250 0.500

***

| no. | E (eV/atom) |
| --- | --- |
| 1 | -28.565 |
| 2 | -33.564 |
| 3 | -41.937 |